(1)
A plane-wave DFT calculation with meta-GGA SCAN was carried out for ZrCd2Ir at its PBEsol-relaxed geometry.

Calculated values
As for the calculated formation energy: -0.23 eV per atom. The value obtained for the mass density is 11.431 Mg/m³. The value obtained for the total magnetic moment is 0.000 μB/f.u.

abc: 3.5036 4.3921 9.5961
angles: 90.00 90.00 90.00
Positions (direct):
Zr (0.0000, 0.0000, 0.0000)
Zr (0.5000, 0.5000, 0.5000)
Cd (0.0000, 0.5000, 0.2332)
Cd (0.0000, 0.5000, 0.7668)
Cd (0.5000, 0.0000, 0.2668)
Cd (0.5000, 0.0000, 0.7332)
Ir (0.0000, 0.0000, 0.5000)
Ir (0.5000, 0.5000, 0.0000)



(2)
A plane-wave DFT calculation with meta-GGA SCAN was carried out for ZrCdIr2 at its PBEsol-relaxed geometry.

Calculated values
As for the calculated formation energy: -0.07 eV per atom. The value obtained for the mass density is 14.517 Mg/m³. The value obtained for the total magnetic moment is 0.000 μB/f.u.

abc: 6.4558 6.4558 6.4558
angles: 90.00 90.00 90.00
Positions (direct):
Zr (0.0000, 0.0000, 0.0000)
Zr (0.0000, 0.5000, 0.5000)
Zr (0.5000, 0.0000, 0.5000)
Zr (0.5000, 0.5000, 0.0000)
Cd (0.2500, 0.2500, 0.7500)
Cd (0.2500, 0.7500, 0.2500)
Cd (0.7500, 0.2500, 0.2500)
Cd (0.7500, 0.7500, 0.7500)
Ir (0.0000, 0.0000, 0.5000)
Ir (0.0000, 0.5000, 0.0000)
Ir (0.2500, 0.2500, 0.2500)
Ir (0.2500, 0.7500, 0.7500)
Ir (0.5000, 0.0000, 0.0000)
Ir (0.5000, 0.5000, 0.5000)
Ir (0.7500, 0.2500, 0.7500)
Ir (0.7500, 0.7500, 0.2500)



(3)
A plane-wave DFT calculation with meta-GGA SCAN was carried out for K2Cd at its PBEsol-relaxed geometry.

Calculated values
As for the calculated formation energy: -0.02 eV per atom. The value obtained for the mass density is 2.288 Mg/m³. The value obtained for the total magnetic moment is 0.000 μB/f.u.

abc: 17.5152 4.0690 8.0691
angles: 90.00 105.77 90.00
Positions (direct):
K (0.1154, 0.0000, 0.0662)
K (0.1543, 0.0000, 0.5971)
K (0.3457, 0.5000, 0.4029)
K (0.3846, 0.5000, 0.9338)
K (0.6154, 0.5000, 0.0662)
K (0.6543, 0.5000, 0.5971)
K (0.8457, 0.0000, 0.4029)
K (0.8846, 0.0000, 0.9338)
Cd (0.0020, 0.5000, 0.3208)
Cd (0.4980, 0.0000, 0.6792)
Cd (0.5020, 0.0000, 0.3208)
Cd (0.9980, 0.5000, 0.6792)



(4)
A plane-wave DFT calculation with meta-GGA SCAN was carried out for KCd at its PBEsol-relaxed geometry.

Calculated values
As for the calculated formation energy: -0.08 eV per atom. The value obtained for the mass density is 3.268 Mg/m³. The value obtained for the total magnetic moment is 0.000 μB/f.u.

abc: 4.7134 12.8402 5.0888
angles: 90.00 90.00 90.00
Positions (direct):
K (0.0000, 0.1536, 0.2500)
K (0.0000, 0.8464, 0.7500)
K (0.5000, 0.3464, 0.7500)
K (0.5000, 0.6536, 0.2500)
Cd (0.0000, 0.4482, 0.2500)
Cd (0.0000, 0.5518, 0.7500)
Cd (0.5000, 0.0518, 0.7500)
Cd (0.5000, 0.9482, 0.2500)